Record 1
Computed, not measured: a relaxed structure of HoTm3Ag4 at the PBE-GGA level of DFT.

abc: 3.5564 5.1134 10.2249
angles: 90.00 90.00 90.00
Positions (direct):
Tm  0.5000  0.0000  0.7494
Tm  0.5000  0.5000  0.5000
Tm  0.5000  0.0000  0.2506
Ag  0.0000  0.5000  0.7476
Ag  0.0000  0.5000  0.2524
Ag  0.0000  0.0000  0.0000
Ag  0.0000  0.0000  0.5000
Ho  0.5000  0.5000  0.0000

Output
space group	Pmmm
DOS at the Fermi energy	0.517	states/eV/atom
energy of formation	-0.34	eV per atom
total DFT energy (no corrections)	-4.01	eV/atom
magnetic moment	0.0000	μB/atom

***

Record 2
Computed, not measured: a relaxed structure of TbPr2Sm5 at the PBE-GGA level of DFT.

abc: 10.1118 6.6585 10.9461
angles: 118.52 117.51 90.00
Positions (direct):
Sm  0.9386  0.7500  0.0000
Sm  0.4907  0.4540  0.8027
Sm  0.8849  0.6238  0.5968
Sm  0.2881  0.8762  0.4032
Sm  0.3121  0.9540  0.8027
Sm  0.6879  0.0460  0.1973
Sm  0.5093  0.5460  0.1973
Sm  0.0614  0.2500  0.0000
Sm  0.7119  0.1238  0.5968
Sm  0.1151  0.3762  0.4032
Tb  0.0000  0.0000  0.5000
Tb  0.5000  0.5000  0.5000
Pr  0.3367  0.0356  0.1625
Pr  0.8258  0.5356  0.1625
Pr  0.1742  0.4644  0.8375
Pr  0.6633  0.9644  0.8375

Output
offset from the most stable computed form	0.137	eV/atom
space group	C2/c
DOS at the Fermi energy	1.579	states/eV/atom
energy of formation	0.15	eV per atom
total DFT energy (no corrections)	-4.57	eV/atom
magnetic moment	0.0000	μB/atom